(1)
Compound: GdHo2Sn3IrPd2
Source: OQMD
Functional: PBE-GGA
Structure: relaxed

```
data_GdHo2Sn3IrPd2
_space_group_name_H-M_alt 'A m m 2'
_space_group_IT_number 38
_cell_length_a 3.8804
_cell_length_b 13.2103
_cell_length_c 7.6179
_cell_angle_alpha 90.00
_cell_angle_beta 90.00
_cell_angle_gamma 90.00
loop_
_space_group_symop_operation_xyz
'x,y,z'
'-x,-y,z'
'-x,y,z'
'x,-y,z'
'x,y+1/2,z+1/2'
'-x,-y+1/2,z+1/2'
'-x,y+1/2,z+1/2'
'x,-y+1/2,z+1/2'
loop_
_atom_site_label
_atom_site_type_symbol
_atom_site_fract_x
_atom_site_fract_y
_atom_site_fract_z
_atom_site_occupancy
Gd1 Gd 0.0000 0.0000 0.0000 1
Ho1 Ho 0.0000 0.1998 0.3995 1
Sn1 Sn 0.5000 0.0000 0.3393 1
Sn2 Sn 0.5000 0.1301 0.7285 1
Ir1 Ir 0.0000 0.0000 0.5973 1
Pd1 Pd 0.5000 0.1682 0.0999 1
```

(2)
Compound: Gd2HoSn3Ir2Pd
Source: OQMD
Functional: PBE-GGA
Structure: relaxed

```
data_Gd2HoSn3Ir2Pd
_space_group_name_H-M_alt 'A m m 2'
_space_group_IT_number 38
_cell_length_a 3.9661
_cell_length_b 13.0413
_cell_length_c 7.5472
_cell_angle_alpha 90.00
_cell_angle_beta 90.00
_cell_angle_gamma 90.00
loop_
_space_group_symop_operation_xyz
'x,y,z'
'-x,-y,z'
'-x,y,z'
'x,-y,z'
'x,y+1/2,z+1/2'
'-x,-y+1/2,z+1/2'
'-x,y+1/2,z+1/2'
'x,-y+1/2,z+1/2'
loop_
_atom_site_label
_atom_site_type_symbol
_atom_site_fract_x
_atom_site_fract_y
_atom_site_fract_z
_atom_site_occupancy
Gd1 Gd 0.0000 0.2055 0.0000 1
Ho1 Ho 0.0000 0.0000 0.3830 1
Sn1 Sn 0.5000 0.0000 0.0563 1
Sn2 Sn 0.5000 0.1310 0.6628 1
Ir1 Ir 0.5000 0.1651 0.2948 1
Pd1 Pd 0.0000 0.0000 0.7920 1
```

(3)
Compound: Gd2HoSn3IrPd2
Source: OQMD
Functional: PBE-GGA
Structure: relaxed

```
data_Gd2HoSn3IrPd2
_space_group_name_H-M_alt 'A m m 2'
_space_group_IT_number 38
_cell_length_a 3.9399
_cell_length_b 13.1563
_cell_length_c 7.6033
_cell_angle_alpha 90.00
_cell_angle_beta 90.00
_cell_angle_gamma 90.00
loop_
_space_group_symop_operation_xyz
'x,y,z'
'-x,-y,z'
'-x,y,z'
'x,-y,z'
'x,y+1/2,z+1/2'
'-x,-y+1/2,z+1/2'
'-x,y+1/2,z+1/2'
'x,-y+1/2,z+1/2'
loop_
_atom_site_label
_atom_site_type_symbol
_atom_site_fract_x
_atom_site_fract_y
_atom_site_fract_z
_atom_site_occupancy
Gd1 Gd 0.0000 0.2008 0.0000 1
Ho1 Ho 0.0000 0.0000 0.3990 1
Sn1 Sn 0.5000 0.0000 0.0570 1
Sn2 Sn 0.5000 0.1289 0.6695 1
Ir1 Ir 0.0000 0.0000 0.7971 1
Pd1 Pd 0.5000 0.1650 0.2998 1
```

| no. | VASP energy (eV per atom) |
| --- | --- |
| 1 | -5.921 |
| 2 | -6.282 |
| 3 | -5.929 |